[1]
{"formula": "K2TaNi", "functional": "PBE-GGA", "state": "optimized geometry", "ef_ev_per_atom": 1.17, "magnetic_moment_mub_per_atom": 0.063, "dft_energy_ha_per_atom": -0.13921, "spacegroup": "Cmmm (65)", "relative_energy_mev_per_atom": 589, "lattice": [[1.5391, -2.5180, 0.0000], [1.5391, 2.5180, 0.0000], [0.0000, 0.0000, 11.8161]], "species": ["K", "K", "Ta", "Ni"], "frac_coords": [[0.0000, 0.0000, 0.2203], [0.0000, 0.0000, 0.7797], [0.5000, 0.5000, 0.5000], [0.5000, 0.5000, 0.0000]]}

---

[2]
{"formula": "LaTbGe2Rh5", "functional": "PBE-GGA", "state": "optimized geometry", "ef_ev_per_atom": -0.70, "magnetic_moment_mub_per_atom": 0.000, "dft_energy_ha_per_atom": -0.25262, "spacegroup": "P4/mmm (123)", "lattice": [[4.2220, 0.0000, 0.0000], [0.0000, 4.2220, 0.0000], [0.0000, 0.0000, 9.0587]], "species": ["La", "Tb", "Ge", "Ge", "Rh", "Rh", "Rh", "Rh", "Rh"], "frac_coords": [[0.0000, 0.0000, 0.0000], [0.0000, 0.0000, 0.5000], [0.5000, 0.5000, 0.3610], [0.5000, 0.5000, 0.6390], [0.0000, 0.5000, 0.2345], [0.0000, 0.5000, 0.7655], [0.5000, 0.0000, 0.2345], [0.5000, 0.0000, 0.7655], [0.5000, 0.5000, 0.0000]]}

---

Q: Number 2 is which compound?
A: LaTbGe2Rh5